(1)
Compound: LiP2SCl
Source: Alexandria via LeMat-Bulk
Functional: PBE
Structure: relaxed

Geometry as CIF:
```
data_LiP2SCl
_symmetry_space_group_name_H-M 'P 4/m m m'
_symmetry_Int_Tables_number 123
_symmetry_space_group_name_Hall '-P 4 2'
_cell_length_a 4.6045
_cell_length_b 4.6045
_cell_length_c 4.2020
_cell_angle_alpha 90.00
_cell_angle_beta 90.00
_cell_angle_gamma 90.00
loop_
_atom_site_label
_atom_site_type_symbol
_atom_site_fract_x
_atom_site_fract_y
_atom_site_fract_z
_atom_site_occupancy
Li1 Li 0.0000 0.0000 0.0000 1
P1 P 0.0000 0.5000 0.0000 1
S1 S 0.0000 0.0000 0.5000 1
Cl1 Cl 0.5000 0.5000 0.5000 1
```

The calculation puts the magnetization at 0.000 μB per atom. As for the crystal system: tetragonal. The polymorph energy (0 for the lowest one) is 553 meV/atom. For the uncorrected formation energy, the calculation gives 0.83 eV per atom. The calculation puts the total energy at -14.54 eV per cell.

(2)
Compound: NaPPb2
Source: Alexandria via LeMat-Bulk
Functional: PBE
Structure: relaxed

Geometry as CIF:
```
data_NaPPb2
_symmetry_space_group_name_H-M 'R -3 m'
_symmetry_Int_Tables_number 166
_symmetry_space_group_name_Hall '-R 3 2"'
_cell_length_a 3.8719
_cell_length_b 3.8719
_cell_length_c 29.9321
_cell_angle_alpha 90.00
_cell_angle_beta 90.00
_cell_angle_gamma 120.00
loop_
_atom_site_label
_atom_site_type_symbol
_atom_site_fract_x
_atom_site_fract_y
_atom_site_fract_z
_atom_site_occupancy
Na1 Na 0.0000 0.0000 0.0000 1
P1 P 0.0000 0.0000 0.5000 1
Pb1 Pb 0.0000 0.0000 0.1085 1
```

The calculation puts the magnetization at 0.000 μB per atom. As for the crystal system: trigonal. For the energy relative to the elements, the calculation gives 8.78 kJ/mol of atoms. The calculation puts the total energy at -41.34 eV per cell.

(3)
Compound: AlCr2BiBr
Source: Alexandria via LeMat-Bulk
Functional: PBE
Structure: relaxed

Geometry as CIF:
```
data_AlCr2BiBr
_symmetry_space_group_name_H-M 'P 4/m m m'
_symmetry_Int_Tables_number 123
_symmetry_space_group_name_Hall '-P 4 2'
_cell_length_a 4.8528
_cell_length_b 4.8528
_cell_length_c 5.9992
_cell_angle_alpha 90.00
_cell_angle_beta 90.00
_cell_angle_gamma 90.00
loop_
_atom_site_label
_atom_site_type_symbol
_atom_site_fract_x
_atom_site_fract_y
_atom_site_fract_z
_atom_site_occupancy
Al1 Al 0.0000 0.0000 0.0000 1
Cr1 Cr 0.0000 0.5000 0.5000 1
Bi1 Bi 0.5000 0.5000 0.0000 1
Br1 Br 0.5000 0.5000 0.5000 1
```

The calculation puts the magnetization at 1.688 μB per atom. As for the crystal system: tetragonal. For the uncorrected formation energy, the calculation gives 1.09 eV per atom. The calculation puts the total energy at -23.07 eV per cell.

(4)
Compound: CaMo2Br
Source: Alexandria via LeMat-Bulk
Functional: PBE
Structure: relaxed

Geometry as CIF:
```
data_CaMo2Br
_symmetry_space_group_name_H-M 'I m m 2'
_symmetry_Int_Tables_number 44
_symmetry_space_group_name_Hall 'I 2 -2'
_cell_length_a 3.3200
_cell_length_b 5.7541
_cell_length_c 9.7422
_cell_angle_alpha 90.00
_cell_angle_beta 90.00
_cell_angle_gamma 90.00
loop_
_atom_site_label
_atom_site_type_symbol
_atom_site_fract_x
_atom_site_fract_y
_atom_site_fract_z
_atom_site_occupancy
Ca1 Ca 0.0000 0.0000 0.0000 1
Mo1 Mo 0.0000 0.0000 0.4965 1
Mo2 Mo 0.0000 0.5000 0.8222 1
Br1 Br 0.0000 0.5000 0.2374 1
```

The calculation puts the magnetization at 0.002 μB per atom. As for the crystal system: orthorhombic. The polymorph energy (0 for the lowest one) is 508 meV/atom. For the uncorrected formation energy, the calculation gives 0.52 eV per atom. The calculation puts the total energy at -46.51 eV per cell.

(5)
Compound: CeTh2Hg6
Source: Alexandria via LeMat-Bulk
Functional: PBE
Structure: relaxed

Geometry as CIF:
```
data_CeTh2Hg6
_symmetry_space_group_name_H-M 'P 6/m m m'
_symmetry_Int_Tables_number 191
_symmetry_space_group_name_Hall '-P 6 2'
_cell_length_a 8.8301
_cell_length_b 8.8301
_cell_length_c 3.3976
_cell_angle_alpha 90.00
_cell_angle_beta 90.00
_cell_angle_gamma 120.00
loop_
_atom_site_label
_atom_site_type_symbol
_atom_site_fract_x
_atom_site_fract_y
_atom_site_fract_z
_atom_site_occupancy
Ce1 Ce 0.0000 0.0000 0.0000 1
Th1 Th 0.3333 0.6667 0.0000 1
Hg1 Hg 0.0000 0.3328 0.5000 1
```

The calculation puts the magnetization at 0.167 μB per atom. As for the crystal system: hexagonal. For the energy relative to the elements, the calculation gives -28.31 kJ/mol of atoms. The calculation puts the total energy at -25.23 eV per cell.

(6)
Compound: Er5Fe2Hg2
Source: Alexandria via LeMat-Bulk
Functional: PBE
Structure: relaxed

Geometry as CIF:
```
data_Er5Fe2Hg2
_symmetry_space_group_name_H-M 'C m c e'
_symmetry_Int_Tables_number 64
_symmetry_space_group_name_Hall '-C 2ac 2'
_cell_length_a 16.4575
_cell_length_b 7.1516
_cell_length_c 7.2303
_cell_angle_alpha 90.00
_cell_angle_beta 90.00
_cell_angle_gamma 90.00
loop_
_atom_site_label
_atom_site_type_symbol
_atom_site_fract_x
_atom_site_fract_y
_atom_site_fract_z
_atom_site_occupancy
Er1 Er 0.0000 0.0000 0.0000 1
Er2 Er 0.1227 0.1824 0.3188 1
Fe1 Fe 0.0000 0.1048 0.6084 1
Hg1 Hg 0.2230 0.0000 0.0000 1
```

The calculation puts the magnetization at 0.162 μB per atom. As for the crystal system: orthorhombic. For the energy relative to the elements, the calculation gives -22.23 kJ/mol of atoms. The calculation puts the total energy at -169.67 eV per cell.